No. 1
Mn3BeV: relaxed, PBE.

POSCAR file:
```
Mn3BeV
1.0
4.318 0.000 0.000
0.000 4.318 0.000
0.000 0.000 4.318
Mn Be V
3 1 1
direct
0.000 0.000 0.500
0.000 0.500 0.000
0.500 0.000 0.000
0.500 0.500 0.500
0.000 0.000 0.000
```

Computed properties:
Size of the total moment = 6.92 Bohr magnetons per cell
Formation energy from the elements = 1.229 eV per atom
Offset from the most stable computed form = 0.711 eV per atom


No. 2
Mn2Be9V: relaxed, PBE.

POSCAR file:
```
Mn2Be9V
1.0
2.111 1.219 6.767
-2.111 1.219 6.767
0.000 -2.438 6.767
Mn Be V
2 9 1
direct
0.145 0.145 0.145
0.855 0.855 0.855
0.081 0.588 0.588
0.334 0.334 0.334
0.412 0.412 0.919
0.412 0.919 0.412
0.500 0.500 0.500
0.588 0.081 0.588
0.588 0.588 0.081
0.666 0.666 0.666
0.919 0.412 0.412
0.000 0.000 0.000
```

Computed properties:
Size of the total moment = 1.28 Bohr magnetons per cell
Formation energy from the elements = -0.186 eV per atom


No. 3
MnBeV2: relaxed, PBE.

POSCAR file:
```
MnBeV2
1.0
6.348 0.000 0.000
0.000 6.348 0.000
0.000 0.000 4.852
Mn Be V
4 4 8
direct
0.000 0.000 0.000
0.000 0.500 0.250
0.500 0.000 0.750
0.500 0.500 0.500
0.000 0.000 0.500
0.000 0.500 0.750
0.500 0.000 0.250
0.500 0.500 0.000
0.230 0.250 0.125
0.250 0.730 0.375
0.250 0.770 0.875
0.270 0.250 0.625
0.730 0.750 0.625
0.750 0.230 0.875
0.750 0.270 0.375
0.770 0.750 0.125
```

Computed properties:
Size of the total moment = 0.00 Bohr magnetons per cell
Formation energy from the elements = 0.414 eV per atom


Among the records above, which one has the lowest formation energy from the elements? Mn2Be9V